The following is a PBE calculation of a relaxed InSn2GeTe4 crystal, from Alexandria.

Properties
**Volume**: 30.9 A^3/atom
**M_tot**: 0.000 μB/f.u.
**E_form (uncorrected)**: -0.22 eV per atom
**Calculated total energy**: -3.707 eV/atom
**Space-group type**: P2/m, No. 10

abc: 4.411 7.712 7.684
angles: 109.23 90.00 90.00
Element x y z (fractional)
In (0.500, 0.500, 0.000)
Sn (0.000, 0.500, 0.500)
Te (0.000, 0.754, 0.243)
Ge (0.000, 0.000, 0.000)
Te (0.000, 0.246, 0.757)
Te (0.500, 0.239, 0.238)
Te (0.500, 0.761, 0.762)
Sn (0.500, 0.000, 0.500)